Entry 1:
! AgRhBr2F | Alexandria | PBE | optimized geometry; values from VASP
! - Uncorrected formation energy: 18.36 kJ/mol of atoms
! - E_tot: -0.213 Ry/atom
! - N(E_F): 4.4 states/eV/cell
! - Spin magnetization: 2.213 μB/f.u.
&SYSTEM
  ibrav = 0, nat = 5, ntyp = 4
/
ATOMIC_SPECIES
Ag 107.87 Ag.upf
Rh 102.91 Rh.upf
Br 79.90 Br.upf
F 19.00 F.upf
CELL_PARAMETERS angstrom
5.595 0.000 0.000
0.000 5.595 0.000
0.000 0.000 3.845
ATOMIC_POSITIONS angstrom
Ag 0.000 0.000 0.000
Rh 2.798 2.798 0.000
Br 0.000 2.798 1.923
Br 2.798 0.000 1.923
F 2.798 2.798 1.923

Entry 2:
! TaAs3Pb | Alexandria | PBE | optimized geometry; values from VASP
! - Energy relative to the elements: 15.71 kJ per mole of atoms
! - E_tot: -0.422 Ry/atom
! - Polymorph energy (0 for the lowest one): 0 meV per atom
! - N(E_F): 2.9 states/eV/cell
! - Spin magnetization: 0.000 μB/f.u.
&SYSTEM
  ibrav = 0, nat = 5, ntyp = 3
/
ATOMIC_SPECIES
Ta 180.95 Ta.upf
As 74.92 As.upf
Pb 207.20 Pb.upf
CELL_PARAMETERS angstrom
5.051 0.000 0.000
0.000 5.051 0.000
0.000 0.000 5.051
ATOMIC_POSITIONS angstrom
Ta 0.000 0.000 0.000
As 0.000 0.000 2.526
As 0.000 2.526 0.000
As 2.526 0.000 0.000
Pb 2.526 2.526 2.526

Entry 3:
! YBe2Br | Alexandria | PBE | optimized geometry; values from VASP
! - Uncorrected formation energy: 32.92 kJ/mol of atoms
! - E_tot: -0.261 Ry/atom
! - Polymorph energy (0 for the lowest one): 527 meV per atom
! - N(E_F): 2.0 states/eV/cell
! - Spin magnetization: 0.000 μB/f.u.
&SYSTEM
  ibrav = 0, nat = 4, ntyp = 3
/
ATOMIC_SPECIES
Y 88.91 Y.upf
Be 9.01 Be.upf
Br 79.90 Br.upf
CELL_PARAMETERS angstrom
4.500 0.000 0.000
0.000 3.480 0.000
-0.877 0.000 4.814
ATOMIC_POSITIONS angstrom
Y 0.000 0.000 0.000
Be -0.438 1.740 2.407
Be 1.812 0.000 2.407
Br 2.250 1.740 0.000

Entry 4:
! La3Dy2Sn4 | Alexandria | PBE | optimized geometry; values from VASP
! - Energy relative to the elements: -63.19 kJ per mole of atoms
! - E_tot: -0.375 Ry/atom
! - N(E_F): 6.5 states/eV/cell
! - Spin magnetization: 0.000 μB/f.u.
&SYSTEM
  ibrav = 0, nat = 9, ntyp = 3
/
ATOMIC_SPECIES
La 138.91 La.upf
Dy 162.50 Dy.upf
Sn 118.71 Sn.upf
CELL_PARAMETERS angstrom
6.838 -2.314 0.000
6.838 2.314 0.000
-4.319 0.000 9.108
ATOMIC_POSITIONS angstrom
La 0.000 0.000 0.000
La 3.877 0.000 2.746
La 5.479 0.000 6.362
Dy 1.534 0.000 5.938
Dy 7.823 0.000 3.170
Sn -0.825 0.000 3.798
Sn -0.058 0.000 8.541
Sn 9.415 0.000 0.567
Sn 10.182 0.000 5.309